Entry 1:
Te2PI, optimized geometry, DFT PBE; ΔE_f (raw) = 0.2747 eV per atom; polymorph energy (0 for the lowest one) = 81 meV/atom; symmetry = I-42d (122)
1.0
-6.818 3.339 2.053
-3.851 -4.935 -4.761
-5.733 -3.586 1.859
I P Te
2 2 4
Direct
0.000 0.000 0.000
0.750 0.250 0.500
0.500 0.500 0.000
0.250 0.750 0.500
0.551 0.125 0.250
0.199 0.625 0.250
0.375 0.449 0.750
0.875 0.801 0.750

Entry 2:
TbNi2Ge4, optimized geometry, DFT PBE; symmetry = Pnma (62); formation energy = -41.9 kJ per mole of atoms
1.0
-1.475 0.618 3.770
-0.315 -6.514 0.945
16.129 0.132 6.291
Tb Ni Ge
4 8 16
Direct
0.750 0.018 0.640
0.250 0.982 0.360
0.250 0.518 0.860
0.750 0.482 0.140
0.250 0.755 0.534
0.750 0.245 0.466
0.750 0.255 0.966
0.250 0.745 0.034
0.250 0.987 0.790
0.750 0.013 0.210
0.750 0.487 0.710
0.250 0.513 0.290
0.250 0.290 0.703
0.750 0.710 0.297
0.750 0.790 0.797
0.250 0.210 0.203
0.250 0.700 0.678
0.750 0.300 0.322
0.750 0.200 0.822
0.250 0.800 0.178
0.250 0.139 0.527
0.750 0.861 0.473
0.750 0.639 0.973
0.250 0.361 0.027
0.250 0.482 0.435
0.750 0.518 0.565
0.750 0.982 0.065
0.250 0.018 0.935

Entry 3:
La3Dy4Er4, optimized geometry, DFT PBE; symmetry = Immm (71); formation energy = 32.8 kJ per mole of atoms
1.0
4.904 0.000 1.269
1.453 8.407 4.499
0.124 0.425 9.635
La Dy Er
3 4 4
Direct
0.883 0.117 0.117
0.117 0.883 0.883
0.000 0.500 0.500
0.679 0.139 0.502
0.321 0.498 0.861
0.321 0.861 0.498
0.679 0.502 0.139
0.747 0.753 0.753
0.253 0.247 0.247
0.500 0.832 0.168
0.500 0.168 0.832

Entry 4:
MgMnSiRu, optimized geometry, DFT PBE; ΔE_f (raw) = -0.1979 eV per atom; symmetry = F-43m (216)
1.0
-2.674 0.530 -3.244
-2.657 -3.116 -1.086
-4.155 0.410 0.724
Ru Si Mn Mg
1 1 1 1
Direct
0.000 0.000 0.000
0.750 0.750 0.750
0.500 0.500 0.500
0.250 0.250 0.250

Entry 5:
ThPa2Sn, optimized geometry, DFT PBE; polymorph energy (0 for the lowest one) = 127 meV/atom; symmetry = P4/mmm (123); formation energy = -3.2 kJ per mole of atoms
1.0
4.099 0.000 0.000
0.000 4.099 0.000
0.000 0.000 6.693
Pa Sn Th
2 1 1
Direct
0.000 0.000 0.706
0.000 0.000 0.294
0.500 0.500 0.500
0.500 0.500 0.000

Entry 6:
CeHoC, optimized geometry, DFT PBE; polymorph energy (0 for the lowest one) = 377 meV/atom; symmetry = I4mm (107); formation energy = 15.8 kJ per mole of atoms
1.0
-0.169 1.055 -2.977
1.640 -2.519 -0.986
-5.852 -2.293 1.200
C Ho Ce
1 1 1
Direct
0.332 0.332 0.664
0.719 0.719 0.439
0.948 0.948 0.897

Repeat the fifth record exactly.
ThPa2Sn, optimized geometry, DFT PBE; polymorph energy (0 for the lowest one) = 127 meV/atom; symmetry = P4/mmm (123); formation energy = -3.2 kJ per mole of atoms
1.0
4.099 0.000 0.000
0.000 4.099 0.000
0.000 0.000 6.693
Pa Sn Th
2 1 1
Direct
0.000 0.000 0.706
0.000 0.000 0.294
0.500 0.500 0.500
0.500 0.500 0.000